(1)
Below is a geometry-optimized Ba8Tl5H structure, with properties calculated at the PBE-GGA level.

Unit cell a=9.117 b=9.117 c=9.117 alpha=113.91 beta=113.91 gamma=100.91
Positions (direct):
Ba  0.024  0.409  0.252
Ba  0.034  0.188  0.714
Ba  0.157  0.772  0.748
Ba  0.228  0.976  0.385
Ba  0.475  0.321  0.286
Ba  0.591  0.843  0.615
Ba  0.679  0.966  0.154
Ba  0.812  0.525  0.846
Tl  0.000  0.000  0.000
Tl  0.336  0.642  0.102
Tl  0.358  0.460  0.695
Tl  0.540  0.234  0.898
Tl  0.766  0.664  0.305
H  0.750  0.250  0.500

Output
**SG**: I-4, No. 82
**Crystal system**: tetragonal
**E_tot**: -0.1802 Ry per atom
**Magnetization**: 0.0 μB per formula unit


(2)
Below is a geometry-optimized Rb12AuO6 structure, with properties calculated at the PBE-GGA level.

Unit cell a=8.803 b=8.803 c=8.803 alpha=106.77 beta=106.77 gamma=106.77
Positions (direct):
Rb  0.000  0.072  0.328
Rb  0.000  0.928  0.672
Rb  0.072  0.328  0.000
Rb  0.152  0.634  0.447
Rb  0.328  0.000  0.072
Rb  0.366  0.553  0.848
Rb  0.447  0.152  0.634
Rb  0.553  0.848  0.366
Rb  0.634  0.447  0.152
Rb  0.672  0.000  0.928
Rb  0.848  0.366  0.553
Rb  0.928  0.672  0.000
Au  0.500  0.500  0.500
O  0.112  0.690  0.778
O  0.222  0.888  0.310
O  0.310  0.222  0.888
O  0.690  0.778  0.112
O  0.778  0.112  0.690
O  0.888  0.310  0.222

Output
**SG**: R-3, No. 148
**Crystal system**: trigonal
**Uncorrected formation energy**: -19.075 kcal/mol of atoms
**E_tot**: -0.2335 Ry per atom
**Magnetization**: 1.2 μB per formula unit


(3)
Below is a geometry-optimized LaY2Cl structure, with properties calculated at the PBE-GGA level.

Unit cell a=3.470 b=5.998 c=11.480 alpha=90.00 beta=90.00 gamma=90.00
Positions (direct):
La  0.000  0.000  0.000
La  0.500  0.500  0.500
Y  0.000  0.500  0.213
Y  0.000  0.500  0.787
Y  0.500  0.000  0.287
Y  0.500  0.000  0.713
Cl  0.000  0.000  0.500
Cl  0.500  0.500  0.000

Output
**SG**: Immm, No. 71
**Crystal system**: orthorhombic
**Uncorrected formation energy**: -11.580 kcal/mol of atoms
**E_tot**: -0.3989 Ry per atom
**Magnetization**: 0.0 μB per formula unit


(4)
Below is a geometry-optimized YMg2BeHg structure, with properties calculated at the PBE-GGA level.

Unit cell a=4.806 b=4.806 c=4.622 alpha=90.00 beta=90.00 gamma=90.00
Positions (direct):
Y  0.000  0.000  0.000
Mg  0.000  0.500  0.500
Mg  0.500  0.000  0.500
Be  0.500  0.500  0.500
Hg  0.500  0.500  0.000

Output
**SG**: P4/mmm, No. 123
**Crystal system**: tetragonal
**E_tot**: -0.1955 Ry per atom
**ΔE_f**: 76 meV per atom
**Magnetization**: 0.0 μB per formula unit


(5)
Below is a geometry-optimized NiBrCl structure, with properties calculated at the PBE-GGA level.

Unit cell a=3.173 b=3.173 c=13.235 alpha=90.00 beta=90.00 gamma=90.00
Positions (direct):
Ni  0.000  0.000  0.000
Ni  0.500  0.500  0.500
Br  0.000  0.000  0.376
Br  0.500  0.500  0.876
Cl  0.000  0.000  0.607
Cl  0.500  0.500  0.107

Output
**SG**: I4mm, No. 107
**Crystal system**: tetragonal
**Uncorrected formation energy**: 2.893 kcal/mol of atoms
**E_tot**: -0.2186 Ry per atom
**Magnetization**: 2.0 μB per formula unit


(6)
Below is a geometry-optimized Si2AsCl structure, with properties calculated at the PBE-GGA level.

Unit cell a=6.796 b=3.575 c=8.296 alpha=90.00 beta=103.49 gamma=90.00
Positions (direct):
Si  0.000  0.000  0.000
Si  0.172  0.500  0.824
Si  0.500  0.500  0.000
Si  0.672  0.000  0.824
As  0.304  0.000  0.678
As  0.804  0.500  0.678
Cl  0.485  0.000  0.194
Cl  0.985  0.500  0.194

Output
**SG**: Cm, No. 8
**Crystal system**: monoclinic
**Uncorrected formation energy**: -1.162 kcal/mol of atoms
**E_tot**: -0.3224 Ry per atom
**Magnetization**: 0.0 μB per formula unit


Q: What is the formula in the third record?
A: LaY2Cl


Q: The lowest E_tot belongs to which entry?
A: LaY2Cl


Q: Look up the E_tot of the first one.
A: -0.1802 Ry per atom


Q: E_tot of number 3 (LaY2Cl)?
A: -0.3989 Ry per atom